# LiMn5As3 PBE-GGA optimized geometry
# VASP energy, eV/atom: -7.00
# Energy relative to the elements, kJ per mole of atoms: -14.2
# Crystal system: orthorhombic
data_LiMn5As3
_chemical_formula_sum 'Li4 Mn20 As12'
_space_group_name_H-M_alt 'C m c m'
_space_group_IT_number 63
_space_group_name_Hall '-C 2c 2'
_cell_length_a 3.988
_cell_length_b 13.031
_cell_length_c 10.288
_cell_angle_alpha 90.00
_cell_angle_beta 90.00
_cell_angle_gamma 90.00
loop_
_atom_site_label
_atom_site_type_symbol
_atom_site_fract_x
_atom_site_fract_y
_atom_site_fract_z
Li1 Li 0.000 0.247 0.250
Mn1 Mn 0.000 0.000 0.000
Mn2 Mn 0.000 0.191 0.549
Mn3 Mn 0.000 0.452 0.130
As1 As 0.000 0.090 0.750
As2 As 0.000 0.371 0.581

---

# Li2MnAs PBE-GGA optimized geometry
# VASP energy, eV/atom: -4.41
# Energy relative to the elements, kJ per mole of atoms: 0.5
# Crystal system: tetragonal
data_Li2MnAs
_chemical_formula_sum 'Li2 Mn1 As1'
_space_group_name_H-M_alt 'P 4/m m m'
_space_group_IT_number 123
_space_group_name_Hall '-P 4 2'
_cell_length_a 2.792
_cell_length_b 2.792
_cell_length_c 8.295
_cell_angle_alpha 90.00
_cell_angle_beta 90.00
_cell_angle_gamma 90.00
loop_
_atom_site_label
_atom_site_type_symbol
_atom_site_fract_x
_atom_site_fract_y
_atom_site_fract_z
Li1 Li 0.000 0.000 0.228
Mn1 Mn 0.500 0.500 0.500
As1 As 0.500 0.500 0.000

---

# LiMnAs2 PBE-GGA optimized geometry
# VASP energy, eV/atom: -5.09
# Energy relative to the elements, kJ per mole of atoms: 1.0
# Crystal system: tetragonal
data_LiMnAs2
_chemical_formula_sum 'Li4 Mn4 As8'
_space_group_name_H-M_alt 'I -4 2 d'
_space_group_IT_number 122
_space_group_name_Hall 'I -4 2bw'
_cell_length_a 6.109
_cell_length_b 6.109
_cell_length_c 9.763
_cell_angle_alpha 90.00
_cell_angle_beta 90.00
_cell_angle_gamma 90.00
loop_
_atom_site_label
_atom_site_type_symbol
_atom_site_fract_x
_atom_site_fract_y
_atom_site_fract_z
Li1 Li 0.000 0.000 0.000
Mn1 Mn 0.000 0.000 0.500
As1 As 0.202 0.250 0.625

---

# Li2MnAs PBE-GGA optimized geometry
# VASP energy, eV/atom: -4.47
# Energy relative to the elements, kJ per mole of atoms: -5.3
# Crystal system: monoclinic
data_Li2MnAs
_chemical_formula_sum 'Li4 Mn2 As2'
_space_group_name_H-M_alt 'C 1 2/m 1'
_space_group_IT_number 12
_space_group_name_Hall '-C 2y'
_cell_length_a 5.038
_cell_length_b 9.020
_cell_length_c 2.863
_cell_angle_alpha 90.00
_cell_angle_beta 109.82
_cell_angle_gamma 90.00
loop_
_atom_site_label
_atom_site_type_symbol
_atom_site_fract_x
_atom_site_fract_y
_atom_site_fract_z
Li1 Li 0.250 0.250 0.000
Mn1 Mn 0.000 0.000 0.500
As1 As 0.000 0.500 0.500

---

# LiMnAs2 PBE-GGA optimized geometry
# VASP energy, eV/atom: -4.88
# Energy relative to the elements, kJ per mole of atoms: 20.4
# Crystal system: tetragonal
data_LiMnAs2
_chemical_formula_sum 'Li1 Mn1 As2'
_space_group_name_H-M_alt 'P 4/m m m'
_space_group_IT_number 123
_space_group_name_Hall '-P 4 2'
_cell_length_a 2.819
_cell_length_b 2.819
_cell_length_c 9.676
_cell_angle_alpha 90.00
_cell_angle_beta 90.00
_cell_angle_gamma 90.00
loop_
_atom_site_label
_atom_site_type_symbol
_atom_site_fract_x
_atom_site_fract_y
_atom_site_fract_z
Li1 Li 0.000 0.000 0.000
Mn1 Mn 0.000 0.000 0.500
As1 As 0.000 0.000 0.252

---

# Li3MnAs2 PBE-GGA optimized geometry
# VASP energy, eV/atom: -4.57
# Energy relative to the elements, kJ per mole of atoms: -51.3
# Crystal system: orthorhombic
data_Li3MnAs2
_chemical_formula_sum 'Li12 Mn4 As8'
_space_group_name_H-M_alt 'I b a m'
_space_group_IT_number 72
_space_group_name_Hall '-I 2 2c'
_cell_length_a 5.650
_cell_length_b 12.725
_cell_length_c 5.440
_cell_angle_alpha 90.00
_cell_angle_beta 90.00
_cell_angle_gamma 90.00
loop_
_atom_site_label
_atom_site_type_symbol
_atom_site_fract_x
_atom_site_fract_y
_atom_site_fract_z
Li1 Li 0.000 0.000 0.250
Li2 Li 0.248 0.327 0.000
Mn1 Mn 0.000 0.500 0.250
As1 As 0.224 0.381 0.500

---

# Li2MnAs PBE-GGA optimized geometry
# VASP energy, eV/atom: -4.58
# Energy relative to the elements, kJ per mole of atoms: -16.6
# Crystal system: monoclinic
data_Li2MnAs
_chemical_formula_sum 'Li4 Mn2 As2'
_space_group_name_H-M_alt 'C 1 2/m 1'
_space_group_IT_number 12
_space_group_name_Hall '-C 2y'
_cell_length_a 9.286
_cell_length_b 3.758
_cell_length_c 3.762
_cell_angle_alpha 90.00
_cell_angle_beta 113.79
_cell_angle_gamma 90.00
loop_
_atom_site_label
_atom_site_type_symbol
_atom_site_fract_x
_atom_site_fract_y
_atom_site_fract_z
Li1 Li 0.250 0.000 0.250
Mn1 Mn 0.000 0.000 0.500
As1 As 0.000 0.500 0.000

---

# LiMnAs4 PBE-GGA optimized geometry
# VASP energy, eV/atom: -4.67
# Energy relative to the elements, kJ per mole of atoms: 26.6
# Crystal system: cubic
data_LiMnAs4
_chemical_formula_sum 'Li4 Mn4 As16'
_space_group_name_H-M_alt 'F -4 3 m'
_space_group_IT_number 216
_space_group_name_Hall 'F -4 2 3'
_cell_length_a 7.846
_cell_length_b 7.846
_cell_length_c 7.846
_cell_angle_alpha 90.00
_cell_angle_beta 90.00
_cell_angle_gamma 90.00
loop_
_atom_site_label
_atom_site_type_symbol
_atom_site_fract_x
_atom_site_fract_y
_atom_site_fract_z
Li1 Li 0.000 0.000 0.000
Mn1 Mn 0.250 0.250 0.750
As1 As 0.125 0.125 0.375

---

# LiMn3As PBE-GGA optimized geometry
# VASP energy, eV/atom: -6.30
# Energy relative to the elements, kJ per mole of atoms: 50.0
# Crystal system: cubic
data_LiMn3As
_chemical_formula_sum 'Li1 Mn3 As1'
_space_group_name_H-M_alt 'P m -3 m'
_space_group_IT_number 221
_space_group_name_Hall '-P 4 2 3'
_cell_length_a 4.697
_cell_length_b 4.697
_cell_length_c 4.697
_cell_angle_alpha 90.00
_cell_angle_beta 90.00
_cell_angle_gamma 90.00
loop_
_atom_site_label
_atom_site_type_symbol
_atom_site_fract_x
_atom_site_fract_y
_atom_site_fract_z
Li1 Li 0.000 0.000 0.000
Mn1 Mn 0.000 0.500 0.500
As1 As 0.500 0.500 0.500

---

# LiMnAs2 PBE-GGA optimized geometry
# VASP energy, eV/atom: -5.35
# Energy relative to the elements, kJ per mole of atoms: -24.2
# Crystal system: tetragonal
data_LiMnAs2
_chemical_formula_sum 'Li1 Mn1 As2'
_space_group_name_H-M_alt 'P 4/m m m'
_space_group_IT_number 123
_space_group_name_Hall '-P 4 2'
_cell_length_a 2.916
_cell_length_b 2.916
_cell_length_c 7.065
_cell_angle_alpha 90.00
_cell_angle_beta 90.00
_cell_angle_gamma 90.00
loop_
_atom_site_label
_atom_site_type_symbol
_atom_site_fract_x
_atom_site_fract_y
_atom_site_fract_z
Li1 Li 0.000 0.000 0.000
Mn1 Mn 0.000 0.000 0.500
As1 As 0.500 0.500 0.290

---

# LiMn2As2 PBE-GGA optimized geometry
# VASP energy, eV/atom: -6.11
# Energy relative to the elements, kJ per mole of atoms: -19.1
# Crystal system: tetragonal
data_LiMn2As2
_chemical_formula_sum 'Li2 Mn4 As4'
_space_group_name_H-M_alt 'P 4/m b m'
_space_group_IT_number 127
_space_group_name_Hall '-P 4 2ab'
_cell_length_a 7.010
_cell_length_b 7.010
_cell_length_c 3.099
_cell_angle_alpha 90.00
_cell_angle_beta 90.00
_cell_angle_gamma 90.00
loop_
_atom_site_label
_atom_site_type_symbol
_atom_site_fract_x
_atom_site_fract_y
_atom_site_fract_z
Li1 Li 0.000 0.000 0.000
Mn1 Mn 0.132 0.368 0.500
As1 As 0.158 0.658 0.000

---

# LiMnAs2 PBE-GGA optimized geometry
# VASP energy, eV/atom: -5.25
# Energy relative to the elements, kJ per mole of atoms: -14.8
# Crystal system: tetragonal
data_LiMnAs2
_chemical_formula_sum 'Li2 Mn2 As4'
_space_group_name_H-M_alt 'I -4 m 2'
_space_group_IT_number 119
_space_group_name_Hall 'I -4 -2'
_cell_length_a 3.733
_cell_length_b 3.733
_cell_length_c 9.046
_cell_angle_alpha 90.00
_cell_angle_beta 90.00
_cell_angle_gamma 90.00
loop_
_atom_site_label
_atom_site_type_symbol
_atom_site_fract_x
_atom_site_fract_y
_atom_site_fract_z
Li1 Li 0.000 0.000 0.000
Mn1 Mn 0.000 0.500 0.750
As1 As 0.000 0.000 0.500
As2 As 0.000 0.500 0.250

---

# LiMn2AsN PBE-GGA optimized geometry
# VASP energy, eV/atom: -6.94
# Crystal system: tetragonal
data_LiMn2AsN
_chemical_formula_sum 'Li1 Mn2 As1 N1'
_space_group_name_H-M_alt 'P 4/m m m'
_space_group_IT_number 123
_space_group_name_Hall '-P 4 2'
_cell_length_a 3.937
_cell_length_b 3.937
_cell_length_c 3.959
_cell_angle_alpha 90.00
_cell_angle_beta 90.00
_cell_angle_gamma 90.00
loop_
_atom_site_label
_atom_site_type_symbol
_atom_site_fract_x
_atom_site_fract_y
_atom_site_fract_z
Li1 Li 0.000 0.000 0.000
Mn1 Mn 0.000 0.500 0.500
As1 As 0.500 0.500 0.000
N1 N 0.000 0.000 0.500

---

# LiMn2AsN PBE-GGA optimized geometry
# VASP energy, eV/atom: -5.69
# Crystal system: tetragonal
data_LiMn2AsN
_chemical_formula_sum 'Li1 Mn2 As1 N1'
_space_group_name_H-M_alt 'P 4/m m m'
_space_group_IT_number 123
_space_group_name_Hall '-P 4 2'
_cell_length_a 4.689
_cell_length_b 4.689
_cell_length_c 4.065
_cell_angle_alpha 90.00
_cell_angle_beta 90.00
_cell_angle_gamma 90.00
loop_
_atom_site_label
_atom_site_type_symbol
_atom_site_fract_x
_atom_site_fract_y
_atom_site_fract_z
Li1 Li 0.000 0.000 0.000
Mn1 Mn 0.000 0.500 0.500
As1 As 0.500 0.500 0.500
N1 N 0.500 0.500 0.000

---

# Na2LiMnAs2 PBE-GGA optimized geometry
# VASP energy, eV/atom: -4.28
# Energy relative to the elements, kJ per mole of atoms: -42.8
# Crystal system: orthorhombic
data_Na2LiMnAs2
_chemical_formula_sum 'Na8 Li4 Mn4 As8'
_space_group_name_H-M_alt 'I b a m'
_space_group_IT_number 72
_space_group_name_Hall '-I 2 2c'
_cell_length_a 5.968
_cell_length_b 13.831
_cell_length_c 5.713
_cell_angle_alpha 90.00
_cell_angle_beta 90.00
_cell_angle_gamma 90.00
loop_
_atom_site_label
_atom_site_type_symbol
_atom_site_fract_x
_atom_site_fract_y
_atom_site_fract_z
Na1 Na 0.235 0.175 0.000
Li1 Li 0.000 0.000 0.250
Mn1 Mn 0.000 0.500 0.250
As1 As 0.221 0.398 0.000